(1)
Computed, not measured: Al3CdO after structural relaxation at the PBE level of DFT.

Results
Fermi-level density of states, states/eV/f.u.: 5.081
Total magnetization, μB per formula unit: 0.0
E above lowest polymorph, eV/f.u.: 0.000

a b c (Å): 4.3373 4.3373 4.3373
angles (deg): 90.00 90.00 90.00
Sites, in units of the cell vectors:
Al (0.0000, 0.5000, 0.0000)
Al (0.0000, 0.0000, 0.5000)
Al (0.5000, 0.0000, 0.0000)
O (0.0000, 0.0000, 0.0000)
Cd (0.5000, 0.5000, 0.5000)


(2)
Computed, not measured: Al5CdO8 after structural relaxation at the PBE level of DFT.

Results
Total energy, Ha/atom: -0.2474
Fermi-level density of states, states/eV/f.u.: 1.486
Total magnetization, μB per formula unit: 0.0

a b c (Å): 5.9160 5.9160 5.9160
angles (deg): 60.00 60.00 60.00
Sites, in units of the cell vectors:
Al (0.0000, 0.0000, 0.0000)
Al (0.6224, 0.6224, 0.1329)
Al (0.6224, 0.6224, 0.6224)
Al (0.1329, 0.6224, 0.6224)
Al (0.6224, 0.1329, 0.6224)
Cd (0.2500, 0.2500, 0.2500)
O (0.3956, 0.8131, 0.3956)
O (0.8131, 0.3956, 0.3956)
O (0.3956, 0.3956, 0.3956)
O (0.3956, 0.3956, 0.8131)
O (0.8644, 0.8644, 0.4067)
O (0.4067, 0.8644, 0.8644)
O (0.8644, 0.8644, 0.8644)
O (0.8644, 0.4067, 0.8644)


(3)
Computed, not measured: AlCd2O after structural relaxation at the PBE level of DFT.

Results
Fermi-level density of states, states/eV/f.u.: 4.198
Total magnetization, μB per formula unit: 0.0
E above lowest polymorph, eV/f.u.: 1.769

a b c (Å): 4.6758 4.6758 4.6758
angles (deg): 60.00 60.00 60.00
Sites, in units of the cell vectors:
Al (0.5000, 0.5000, 0.5000)
O (0.0000, 0.0000, 0.0000)
Cd (0.2500, 0.2500, 0.2500)
Cd (0.7500, 0.7500, 0.7500)


(4)
Computed, not measured: AlCdOsO6 after structural relaxation at the PBE level of DFT.

Results
Total energy, Ha/atom: -0.2413
Fermi-level density of states, states/eV/f.u.: 3.406
Total magnetization, μB per formula unit: 0.7

a b c (Å): 5.0616 5.0616 9.7311
angles (deg): 90.00 90.00 120.00
Sites, in units of the cell vectors:
Al (0.6667, 0.3333, 0.2500)
Al (0.3333, 0.6667, 0.7500)
Cd (0.0000, 0.0000, 0.0000)
Cd (0.0000, 0.0000, 0.5000)
Os (0.3333, 0.6667, 0.2500)
Os (0.6667, 0.3333, 0.7500)
O (0.6287, 0.6295, 0.1433)
O (0.0007, 0.3713, 0.1433)
O (0.3713, 0.0007, 0.6433)
O (0.9993, 0.6287, 0.8567)
O (0.3705, 0.3713, 0.3567)
O (0.0007, 0.6295, 0.3567)
O (0.6295, 0.0007, 0.8567)
O (0.6287, 0.9993, 0.3567)
O (0.9993, 0.3705, 0.6433)
O (0.3705, 0.9993, 0.1433)
O (0.6295, 0.6287, 0.6433)
O (0.3713, 0.3705, 0.8567)